The following is a SCAN calculation of LiPt at its PBEsol-relaxed geometry, from the Alexandria database.

## Properties
formation energy from the elements: -1.4 eV/f.u.
VASP energy: -36.972 eV per atom
V: 13.53 Å³/atom
density of states at the Fermi level: 1.3 states/eV per cell
ρ: 12.40 g cm⁻³
M_tot: 0.00 μB per cell

POSCAR file:
```
LiPt
1.0
4.918 -1.354 0.000
4.918 1.354 0.000
-2.148 0.000 4.063
Li Pt
2 2
direct
0.117 0.117 0.457
0.883 0.883 0.543
0.370 0.370 0.018
0.630 0.630 0.982
```

The following is a SCAN calculation of LiPt at its PBEsol-relaxed geometry, from the Alexandria database.

## Properties
formation energy from the elements: -1.2 eV/f.u.
VASP energy: -36.867 eV per atom
V: 13.87 Å³/atom
density of states at the Fermi level: 1.9 states/eV per cell
ρ: 12.09 g cm⁻³
M_tot: 0.00 μB per cell

POSCAR file:
```
LiPt
1.0
4.786 -1.341 0.000
4.786 1.341 0.000
-1.744 0.000 6.482
Li Pt
3 3
direct
0.000 0.000 0.000
0.046 0.046 0.634
0.656 0.656 0.352
0.319 0.319 0.669
0.376 0.376 0.302
0.733 0.733 0.963
```

The following is a SCAN calculation of LiPt3 at its PBEsol-relaxed geometry, from the Alexandria database.

## Properties
formation energy from the elements: -1.7 eV/f.u.
VASP energy: -53.672 eV per atom
V: 14.04 Å³/atom
density of states at the Fermi level: 10.6 states/eV per cell
ρ: 17.51 g cm⁻³
M_tot: 0.00 μB per cell

POSCAR file:
```
LiPt3
1.0
5.417 0.000 0.000
-2.709 4.692 0.000
0.000 0.000 8.839
Li Pt
4 12
direct
0.000 0.000 0.000
0.000 0.000 0.500
0.333 0.667 0.250
0.667 0.333 0.750
0.000 0.500 0.000
0.000 0.500 0.500
0.165 0.331 0.750
0.165 0.835 0.750
0.331 0.165 0.250
0.500 0.000 0.000
0.500 0.000 0.500
0.500 0.500 0.000
0.500 0.500 0.500
0.669 0.835 0.750
0.835 0.165 0.250
0.835 0.669 0.250
```